VASP calculation (PBE) on a relaxed structure of KZrTc2O8.

Computed properties:
Crystal system: trigonal
Fermi-level density of states (states/eV per cell): 5.98
Formation energy without anion corrections (eV/atom): -1.8621
SG: P-3m1
Theoretical density (g cm⁻³): 3.4
Final energy (eV per atom): -7.70

```
KZrTc2O8
1.0
5.865 0.000 0.000
-2.933 5.080 0.000
0.000 0.000 7.485
K Zr Tc O
1 1 2 8
direct
0.000 0.000 0.000
0.000 0.000 0.500
0.333 0.667 0.756
0.667 0.333 0.244
0.167 0.334 0.667
0.167 0.833 0.667
0.333 0.667 0.990
0.334 0.167 0.333
0.666 0.833 0.667
0.667 0.333 0.010
0.833 0.167 0.333
0.833 0.666 0.333
```



VASP calculation (PBE) on a relaxed structure of Ba2BeIrO6.

Computed properties:
Crystal system: trigonal
Fermi-level density of states (states/eV per cell): 9.40
Formation energy without anion corrections (eV/atom): -1.9040
SG: R-3m
Theoretical density (g cm⁻³): 6.9
Final energy (eV per atom): -6.52

```
Ba2BeIrO6
1.0
2.800 1.617 10.167
-2.800 1.617 10.167
0.000 -3.234 10.167
Ba Be Ir O
4 2 2 12
direct
0.127 0.127 0.127
0.273 0.273 0.273
0.727 0.727 0.727
0.873 0.873 0.873
0.373 0.373 0.373
0.627 0.627 0.627
0.000 0.000 0.000
0.500 0.500 0.500
0.141 0.626 0.626
0.209 0.209 0.696
0.209 0.696 0.209
0.304 0.791 0.791
0.374 0.374 0.859
0.374 0.859 0.374
0.626 0.141 0.626
0.626 0.626 0.141
0.696 0.209 0.209
0.791 0.304 0.791
0.791 0.791 0.304
0.859 0.374 0.374
```



VASP calculation (PBE) on a relaxed structure of Nb2TlBTe.

Computed properties:
Crystal system: tetragonal
Fermi-level density of states (states/eV per cell): 6.15
Formation energy without anion corrections (eV/atom): 1.5958
SG: P4/mmm
Theoretical density (g cm⁻³): 7.5
Final energy (eV per atom): -4.87

```
Nb2TlBTe
1.0
5.182 0.000 0.000
0.000 5.182 0.000
0.000 0.000 4.377
Nb Tl B Te
2 1 1 1
direct
0.000 0.500 0.000
0.500 0.000 0.000
0.000 0.000 0.500
0.500 0.500 0.500
0.500 0.500 0.000
```



VASP calculation (PBE) on a relaxed structure of InAsO2.

Computed properties:
Crystal system: trigonal
Fermi-level density of states (states/eV per cell): 0.66
Formation energy without anion corrections (eV/atom): -1.0358
Relative energy among the computed polymorphs (meV/atom): 0
SG: R-3m
Theoretical density (g cm⁻³): 6.3
Final energy (eV per atom): -5.36

```
InAsO2
1.0
1.616 0.933 6.497
-1.616 0.933 6.497
0.000 -1.866 6.497
In As O
1 1 2
direct
0.000 0.000 0.000
0.500 0.500 0.500
0.392 0.392 0.392
0.608 0.608 0.608
```



VASP calculation (PBE) on a relaxed structure of TcNi2Au.

Computed properties:
Crystal system: tetragonal
Energy of formation from the pure elements (meV per atom): 256
Fermi-level density of states (states/eV per cell): 5.79
Relative energy among the computed polymorphs (meV/atom): 213
SG: I-4m2
Theoretical density (g cm⁻³): 12.6
Final energy (eV per atom): -6.05

```
TcNi2Au
1.0
-1.859 1.859 3.921
1.859 -1.859 3.921
1.859 1.859 -3.921
Tc Ni Au
1 2 1
direct
0.000 0.000 0.000
0.500 0.500 0.000
0.750 0.250 0.500
0.250 0.750 0.500
```



VASP calculation (PBE) on a relaxed structure of FeMo.

Computed properties:
Crystal system: tetragonal
Energy of formation from the pure elements (meV per atom): 236
Fermi-level density of states (states/eV per cell): 4.74
SG: I4_1/amd
Theoretical density (g cm⁻³): 9.5
Final energy (eV per atom): -9.41

```
FeMo
1.0
-1.835 1.835 3.918
1.835 -1.835 3.918
1.835 1.835 -3.918
Fe Mo
2 2
direct
0.375 0.625 0.750
0.625 0.375 0.250
0.125 0.875 0.250
0.875 0.125 0.750
```



VASP calculation (PBE) on a relaxed structure of LaHfSbI2.

Computed properties:
Crystal system: tetragonal
Fermi-level density of states (states/eV per cell): 4.52
Formation energy without anion corrections (eV/atom): 0.3668
Relative energy among the computed polymorphs (meV/atom): 620
SG: P4/mmm
Theoretical density (g cm⁻³): 4.9
Final energy (eV per atom): -4.05

```
LaHfSbI2
1.0
6.032 0.000 0.000
0.000 6.032 0.000
0.000 0.000 6.416
La Hf Sb I
1 1 1 2
direct
0.000 0.000 0.000
0.500 0.500 0.500
0.000 0.000 0.500
0.000 0.500 0.000
0.500 0.000 0.000
```



VASP calculation (PBE) on a relaxed structure of TcPdI2N.

Computed properties:
Crystal system: tetragonal
Fermi-level density of states (states/eV per cell): 5.59
Formation energy without anion corrections (eV/atom): 0.5305
Relative energy among the computed polymorphs (meV/atom): 0
SG: P4/mmm
Theoretical density (g cm⁻³): 6.9
Final energy (eV per atom): -4.87

```
TcPdI2N
1.0
5.509 0.000 0.000
0.000 5.509 0.000
0.000 0.000 3.722
Tc Pd I N
1 1 2 1
direct
0.000 0.000 0.000
0.500 0.500 0.500
0.000 0.500 0.000
0.500 0.000 0.000
0.000 0.000 0.500
```



VASP calculation (PBE) on a relaxed structure of CaLaReO6.

Computed properties:
Crystal system: trigonal
Fermi-level density of states (states/eV per cell): 0.00
Formation energy without anion corrections (eV/atom): -2.4790
SG: P312
Theoretical density (g cm⁻³): 5.7
Final energy (eV per atom): -7.94

```
CaLaReO6
1.0
5.566 0.000 0.000
-2.783 4.820 0.000
0.000 0.000 5.015
Ca La Re O
1 1 1 6
direct
0.000 0.000 0.000
0.667 0.333 0.500
0.333 0.667 0.000
0.050 0.388 0.217
0.050 0.662 0.783
0.338 0.388 0.783
0.338 0.950 0.217
0.612 0.662 0.217
0.612 0.950 0.783
```



VASP calculation (PBE) on a relaxed structure of CsTlAsH.

Computed properties:
Crystal system: trigonal
SG: P3m1
Theoretical density (g cm⁻³): 5.2
Final energy (eV per atom): -3.01

```
CsTlAsH
1.0
4.914 0.000 0.000
-2.457 4.256 0.000
0.000 0.000 6.311
Cs Tl As H
1 1 1 1
direct
0.000 0.000 0.000
0.667 0.333 0.550
0.333 0.667 0.370
0.333 0.667 0.120
```



VASP calculation (PBE) on a relaxed structure of Ca12Co3H5.

Computed properties:
Crystal system: cubic
Fermi-level density of states (states/eV per cell): 41.50
SG: Ia-3d
Theoretical density (g cm⁻³): 2.4
Final energy (eV per atom): -3.15

```
Ca12Co3H5
1.0
-7.708 7.708 7.708
7.708 -7.708 7.708
7.708 7.708 -7.708
Ca Co H
48 12 20
direct
0.028 0.213 0.125
0.028 0.315 0.902
0.088 0.713 0.685
0.088 0.875 0.402
0.098 0.625 0.412
0.098 0.972 0.685
0.125 0.028 0.213
0.125 0.598 0.912
0.185 0.213 0.588
0.185 0.472 0.598
0.213 0.125 0.028
0.213 0.588 0.185
0.287 0.315 0.912
0.287 0.472 0.375
0.315 0.902 0.028
0.315 0.912 0.287
0.375 0.287 0.472
0.375 0.588 0.902
0.402 0.088 0.875
0.402 0.815 0.528
0.412 0.098 0.625
0.412 0.815 0.787
0.472 0.375 0.287
0.472 0.598 0.185
0.528 0.402 0.815
0.528 0.625 0.713
0.588 0.185 0.213
0.588 0.902 0.375
0.598 0.185 0.472
0.598 0.912 0.125
0.625 0.412 0.098
0.625 0.713 0.528
0.685 0.088 0.713
0.685 0.098 0.972
0.713 0.528 0.625
0.713 0.685 0.088
0.787 0.412 0.815
0.787 0.875 0.972
0.815 0.528 0.402
0.815 0.787 0.412
0.875 0.402 0.088
0.875 0.972 0.787
0.902 0.028 0.315
0.902 0.375 0.588
0.912 0.125 0.598
0.912 0.287 0.315
0.972 0.685 0.098
0.972 0.787 0.875
0.125 0.250 0.375
0.125 0.375 0.750
0.250 0.375 0.125
0.250 0.875 0.625
0.375 0.125 0.250
0.375 0.750 0.125
0.625 0.250 0.875
0.625 0.875 0.750
0.750 0.125 0.375
0.750 0.625 0.875
0.875 0.625 0.250
0.875 0.750 0.625
0.000 0.000 0.000
0.000 0.000 0.500
0.000 0.500 0.000
0.000 0.500 0.500
0.125 0.750 0.875
0.125 0.875 0.250
0.250 0.125 0.875
0.250 0.625 0.375
0.375 0.250 0.625
0.375 0.625 0.750
0.500 0.000 0.000
0.500 0.000 0.500
0.500 0.500 0.000
0.500 0.500 0.500
0.625 0.375 0.250
0.625 0.750 0.375
0.750 0.375 0.625
0.750 0.875 0.125
0.875 0.125 0.750
0.875 0.250 0.125
```



VASP calculation (PBE) on a relaxed structure of Sr3LaAu.

Computed properties:
Crystal system: cubic
Energy of formation from the pure elements (meV per atom): 887
Fermi-level density of states (states/eV per cell): 6.54
SG: Pm-3m
Theoretical density (g cm⁻³): 4.4
Final energy (eV per atom): -1.76

```
Sr3LaAu
1.0
6.105 0.000 0.000
0.000 6.105 0.000
0.000 0.000 6.105
Sr La Au
3 1 1
direct
0.000 0.000 0.500
0.000 0.500 0.000
0.500 0.000 0.000
0.000 0.000 0.000
0.500 0.500 0.500
```



VASP calculation (PBE) on a relaxed structure of CoTeW3.

Computed properties:
Crystal system: cubic
Fermi-level density of states (states/eV per cell): 6.30
Formation energy without anion corrections (eV/atom): 1.4497
Relative energy among the computed polymorphs (meV/atom): 0
SG: Pm-3m
Theoretical density (g cm⁻³): 13.1
Final energy (eV per atom): -8.37

```
CoTeW3
1.0
4.545 0.000 0.000
0.000 4.545 0.000
0.000 0.000 4.545
Co Te W
1 1 3
direct
0.000 0.000 0.000
0.500 0.500 0.500
0.000 0.000 0.500
0.000 0.500 0.000
0.500 0.000 0.000
```



VASP calculation (PBE) on a relaxed structure of PrHoGaNi.

Computed properties:
Crystal system: cubic
Energy of formation from the pure elements (meV per atom): -369
Fermi-level density of states (states/eV per cell): 3.95
SG: F-43m
Theoretical density (g cm⁻³): 8.0
Final energy (eV per atom): -4.91

```
PrHoGaNi
1.0
0.000 3.561 3.561
3.561 0.000 3.561
3.561 3.561 0.000
Pr Ho Ga Ni
1 1 1 1
direct
0.000 0.000 0.000
0.500 0.500 0.500
0.750 0.750 0.750
0.250 0.250 0.250
```



VASP calculation (PBE) on a relaxed structure of HfMn2Tc.

Computed properties:
Crystal system: cubic
Energy of formation from the pure elements (meV per atom): 6
Fermi-level density of states (states/eV per cell): 4.38
Relative energy among the computed polymorphs (meV/atom): 0
SG: Fm-3m
Theoretical density (g cm⁻³): 11.4
Final energy (eV per atom): -9.66

```
HfMn2Tc
1.0
0.000 3.041 3.041
3.041 0.000 3.041
3.041 3.041 0.000
Hf Mn Tc
1 2 1
direct
0.000 0.000 0.000
0.250 0.250 0.250
0.750 0.750 0.750
0.500 0.500 0.500
```



VASP calculation (PBE) on a relaxed structure of La2CrCl.

Computed properties:
Crystal system: orthorhombic
Fermi-level density of states (states/eV per cell): 4.59
Formation energy without anion corrections (eV/atom): -0.4526
Relative energy among the computed polymorphs (meV/atom): 0
SG: Pmmm
Theoretical density (g cm⁻³): 5.8
Final energy (eV per atom): -5.78

```
La2CrCl
1.0
3.633 0.000 0.000
0.000 4.850 0.000
0.000 0.000 5.982
La Cr Cl
2 1 1
direct
0.000 0.000 0.000
0.500 0.500 0.500
0.000 0.000 0.500
0.500 0.500 0.000
```



VASP calculation (PBE) on a relaxed structure of CsRb2FeCl5.

Computed properties:
Crystal system: tetragonal
Fermi-level density of states (states/eV per cell): 14.51
Formation energy without anion corrections (eV/atom): -1.5782
SG: I4/mcm
Theoretical density (g cm⁻³): 2.9
Final energy (eV per atom): -3.85

```
CsRb2FeCl5
1.0
-4.557 4.557 7.282
4.557 -4.557 7.282
4.557 4.557 -7.282
Cs Rb Fe Cl
2 4 2 10
direct
0.250 0.250 0.000
0.750 0.750 0.000
0.168 0.668 0.836
0.332 0.168 0.500
0.668 0.832 0.500
0.832 0.332 0.164
0.250 0.750 0.500
0.750 0.250 0.500
0.000 0.000 0.000
0.012 0.790 0.500
0.210 0.710 0.222
0.290 0.512 0.500
0.488 0.988 0.778
0.500 0.500 0.000
0.512 0.012 0.222
0.710 0.488 0.500
0.790 0.290 0.778
0.988 0.210 0.500
```



VASP calculation (PBE) on a relaxed structure of LaScBe2O.

Computed properties:
Crystal system: tetragonal
Fermi-level density of states (states/eV per cell): 5.67
Formation energy without anion corrections (eV/atom): -0.1921
SG: P4/mmm
Theoretical density (g cm⁻³): 3.7
Final energy (eV per atom): -4.93

```
LaScBe2O
1.0
5.026 0.000 0.000
0.000 5.026 0.000
0.000 0.000 3.872
La Sc Be O
1 1 2 1
direct
0.000 0.000 0.000
0.500 0.500 0.000
0.000 0.500 0.500
0.500 0.000 0.500
0.500 0.500 0.500
```



VASP calculation (PBE) on a relaxed structure of Pr4TeC.

Computed properties:
Crystal system: monoclinic
Fermi-level density of states (states/eV per cell): 11.97
Formation energy without anion corrections (eV/atom): -0.4231
Relative energy among the computed polymorphs (meV/atom): 32
SG: C2/c
Theoretical density (g cm⁻³): 6.3
Final energy (eV per atom): -5.67

```
Pr4TeC
1.0
4.971 -7.456 0.000
4.971 7.456 0.000
-4.065 0.000 5.028
Pr Te C
8 2 2
direct
0.052 0.666 0.887
0.159 0.252 0.652
0.252 0.159 0.152
0.334 0.948 0.613
0.666 0.052 0.387
0.748 0.841 0.848
0.841 0.748 0.348
0.948 0.334 0.113
0.377 0.623 0.250
0.623 0.377 0.750
0.073 0.927 0.250
0.927 0.073 0.750
```



VASP calculation (PBE) on a relaxed structure of CsSb.

Computed properties:
Crystal system: tetragonal
Fermi-level density of states (states/eV per cell): 5.82
Formation energy without anion corrections (eV/atom): -0.2148
Relative energy among the computed polymorphs (meV/atom): 249
SG: P4_2/mnm
Theoretical density (g cm⁻³): 3.4
Final energy (eV per atom): -2.70

```
CsSb
1.0
8.045 0.000 0.000
0.000 8.045 0.000
0.000 0.000 7.682
Cs Sb
4 4
direct
0.183 0.183 0.000
0.317 0.683 0.500
0.683 0.317 0.500
0.817 0.817 0.000
0.119 0.119 0.500
0.381 0.619 0.000
0.619 0.381 0.000
0.881 0.881 0.500
```